Material: K2Pu3VO12
Method: DFT, PBE with a Hubbard U
State: relaxed

Calculated values
* calculated total energy: -8.56 eV/atom
* SG: R-3m

POSCAR file:
```
K2Pu3VO12
1.0
7.428 -0.189 -0.134
3.504 6.552 -0.134
3.504 2.039 6.228
K Pu V O
2 3 1 12
Cartesian
9.313 5.421 3.845 K
5.122 2.981 2.115 K
3.714 -0.095 -0.067 Pu
1.752 3.276 -0.067 Pu
1.752 1.020 3.114 Pu
0.000 0.000 0.000 V
6.855 3.990 5.801 O
11.343 6.603 1.629 O
8.837 8.026 5.693 O
9.293 2.605 1.848 O
11.343 3.720 5.693 O
6.855 6.794 1.848 O
7.580 4.412 0.159 O
3.092 1.800 4.331 O
5.598 0.376 0.267 O
5.142 5.797 4.112 O
3.092 4.682 0.267 O
7.580 1.609 4.112 O
```